Entry 1:
Compound: KCd3Au
Source: Alexandria via LeMat-Bulk
Functional: PBE
Structure: relaxed

Values from the calculation:
Final energy ... -0.745 eV per atom
N(E_F) ... 0.21 states/eV/f.u.
Volume ... 268.7 Å³ per cell
Distance to the lowest polymorph of the same formula ... 4.272 eV/f.u.
Space-group type ... Pm-3m

a = 6.4527 Å, b = 6.4527 Å, c = 6.4527 Å
α = 90.00°, β = 90.00°, γ = 90.00°
Last column: nearest neighbours and their distance in Å.
Atoms (fractional coordinates):
K  0.0000  0.0000  0.0000  6 Cd 3.23
Cd  0.0000  0.0000  0.5000  2 K 3.23
Cd  0.0000  0.5000  0.0000  2 K 3.23
Cd  0.5000  0.0000  0.0000  2 K 3.23
Au  0.5000  0.5000  0.5000  12 Cd 4.56

---

Entry 2:
Compound: K3CdAu8
Source: Alexandria via LeMat-Bulk
Functional: PBE
Structure: relaxed

Values from the calculation:
Final energy ... -2.773 eV per atom
N(E_F) ... 3.22 states/eV/f.u.
Volume ... 270.2 Å³ per cell
Space-group type ... R3m

a = 10.0810 Å, b = 10.0810 Å, c = 10.0810 Å
α = 32.98°, β = 32.98°, γ = 32.98°
Last column: nearest neighbours and their distance in Å.
Atoms (fractional coordinates):
K  0.0000  0.0000  0.0000  12 Au 3.35-3.36, 3 Cd 3.49, 1 K 3.60
K  0.1261  0.1261  0.1261  12 Au 3.36-3.43, 4 K 3.52-3.60
K  0.5019  0.5019  0.5019  12 Au 3.36-3.48, 3 K 3.52, 1 Cd 3.58
Cd  0.6272  0.6272  0.6272  12 Au 3.33-3.37, 4 K 3.49-3.58
Au  0.0593  0.5630  0.5630  6 Au 2.84-2.93
Au  0.0643  0.0643  0.5656  6 Au 2.85-2.93
Au  0.0643  0.5656  0.0643  6 Au 2.85-2.93
Au  0.3132  0.3132  0.3132  6 Au 2.86-2.87
Au  0.5630  0.0593  0.5630  6 Au 2.84-2.93
Au  0.5630  0.5630  0.0593  6 Au 2.84-2.93
Au  0.5656  0.0643  0.0643  6 Au 2.85-2.93
Au  0.8134  0.8134  0.8134  6 Au 2.93

---

Entry 3:
Compound: KCdAu2
Source: Alexandria via LeMat-Bulk
Functional: PBE
Structure: relaxed

Values from the calculation:
Final energy ... -2.030 eV per atom
N(E_F) ... 0.60 states/eV/f.u.
Volume ... 276.1 Å³ per cell
Space-group type ... R3m

a = 3.1980 Å, b = 3.1980 Å, c = 31.1778 Å
α = 90.00°, β = 90.00°, γ = 120.00°
Last column: nearest neighbours and their distance in Å.
Atoms (fractional coordinates):
K  0.0000  0.0000  0.0000  6 K 3.20, 3 Au 3.26
K  0.3333  0.6667  0.6667  6 K 3.20, 3 Au 3.26
K  0.6667  0.3333  0.3333  6 K 3.20, 3 Au 3.26
Cd  0.0000  0.0000  0.7671  3 Au 2.95, 6 Cd 3.20
Cd  0.3333  0.6667  0.4338  3 Au 2.95, 6 Cd 3.20
Cd  0.6667  0.3333  0.1005  3 Au 2.95, 6 Cd 3.20
Au  0.0000  0.0000  0.2471  9 Au 2.92-3.20, 3 K 3.26
Au  0.0000  0.0000  0.5078  9 Au 2.92-3.20, 3 Cd 2.95
Au  0.3333  0.6667  0.1744  9 Au 2.92-3.20, 3 Cd 2.95
Au  0.3333  0.6667  0.9138  9 Au 2.92-3.20, 3 K 3.26
Au  0.6667  0.3333  0.5804  9 Au 2.92-3.20, 3 K 3.26
Au  0.6667  0.3333  0.8411  9 Au 2.92-3.20, 3 Cd 2.95